(1)
AcThCoHg | GGA-PBE | optimized geometry

The structure belongs to space group R3m (No. 160, hexagonal axes); the cell edges are 4.0706, 4.0706 and 24.3729 Å and the angles 90.00°, 90.00° and 120.00°. The distinct sites, in fractional coordinates, are Ac at (0.0000, 0.0000, 0.0000), Th at (0.0000, 0.0000, 0.7946), Co at (0.0000, 0.0000, 0.4071) and Hg at (0.0000, 0.0000, 0.2258).

Its total energy is -19.9 eV per formula unit. The size of the total moment is 0.0000 μB/atom.

(2)
K3PtBr | GGA-PBE | optimized geometry

The structure belongs to space group Pm-3m (No. 221); the cell edges are 6.0542, 6.0542 and 6.0542 Å and the angles 90.00°, 90.00° and 90.00°. The distinct sites, in fractional coordinates, are K at (0.0000, 0.0000, 0.5000), Pt at (0.0000, 0.0000, 0.0000) and Br at (0.5000, 0.5000, 0.5000).

The relative energy among the computed polymorphs comes out at 0 meV per atom. Its uncorrected formation energy is -0.553 eV/atom. The size of the total moment is 0.0000 μB/atom.

(3)
Li2InBi | GGA-PBE | optimized geometry

The structure belongs to space group P4/mmm (No. 123); the cell edges are 3.4327, 3.4327 and 7.4750 Å and the angles 90.00°, 90.00° and 90.00°. The distinct sites, in fractional coordinates, are Li at (0.0000, 0.0000, 0.2427), In at (0.5000, 0.5000, 0.0000) and Bi at (0.5000, 0.5000, 0.5000).

Its total energy is -11.7 eV per formula unit. The size of the total moment is 0.0000 μB/atom.

(4)
PrDyHoMg | GGA-PBE | optimized geometry

The structure belongs to space group F-43m (No. 216); the cell edges are 7.8706, 7.8706 and 7.8706 Å and the angles 90.00°, 90.00° and 90.00°. The distinct sites, in fractional coordinates, are Pr at (0.0000, 0.0000, 0.0000), Dy at (0.0000, 0.0000, 0.5000), Ho at (0.2500, 0.2500, 0.2500) and Mg at (0.2500, 0.2500, 0.7500).

The relative energy among the computed polymorphs comes out at 62 meV per atom. The size of the total moment is 0.0000 μB/atom.

(5)
Sm3Er2In3 | GGA-PBE | optimized geometry

The structure belongs to space group Immm (No. 71); the cell edges are 3.7935, 5.4115 and 22.5390 Å and the angles 90.00°, 90.00° and 90.00°. The distinct sites, in fractional coordinates, are Sm at (0.0000, 0.0000, 0.0000), Sm at (0.0000, 0.5000, 0.1247), Er at (0.0000, 0.0000, 0.2351), In at (0.0000, 0.0000, 0.5000) and In at (0.0000, 0.5000, 0.3783).

The relative energy among the computed polymorphs comes out at 0 meV per atom. The size of the total moment is 0.0001 μB/atom.

(6)
SmPa2MnN4 | GGA-PBE | optimized geometry

The structure belongs to space group Cmcm (No. 63); the cell edges are 3.3732, 11.6860 and 11.4792 Å and the angles 90.00°, 90.00° and 90.00°. The distinct sites, in fractional coordinates, are Sm at (0.0000, 0.1054, 0.2500), Pa at (0.0000, 0.3675, 0.0581), Mn at (0.0000, 0.1571, 0.7500), N at (0.0000, 0.0000, 0.0000), N at (0.0000, 0.2716, 0.6205) and N at (0.0000, 0.4464, 0.2500).

Its uncorrected formation energy is -1.307 eV/atom. The size of the total moment is 0.0957 μB/atom.

(7)
GaHgCl2 | GGA-PBE | optimized geometry

The structure belongs to space group R-3m (No. 166, hexagonal axes); the cell edges are 3.8051, 3.8051 and 32.7538 Å and the angles 90.00°, 90.00° and 120.00°. The distinct sites, in fractional coordinates, are Ga at (0.0000, 0.0000, 0.0000), Hg at (0.0000, 0.0000, 0.5000) and Cl at (0.0000, 0.0000, 0.3776).

The relative energy among the computed polymorphs comes out at 113 meV per atom. Its uncorrected formation energy is -0.495 eV/atom. The size of the total moment is 0.2391 μB/atom.

(8)
Cs3Pu2ZrSe6 | GGA-PBE | optimized geometry

The structure belongs to space group C2/m (No. 12); the cell edges are 7.3414, 12.7133 and 8.7104 Å and the angles 90.00°, 106.33° and 90.00°. The distinct sites, in fractional coordinates, are Cs at (0.0000, 0.0000, 0.0000), Cs at (0.0000, 0.3305, 0.0000), Pu at (0.0000, 0.1664, 0.5000), Zr at (0.0000, 0.5000, 0.5000), Se at (0.2194, 0.3419, 0.6839) and Se at (0.2458, 0.0000, 0.6852).

Its uncorrected formation energy is -1.399 eV/atom. The size of the total moment is 0.9170 μB/atom.